Record 1
{
  "formula": "PaTeCl",
  "functional": "PBE",
  "state": "optimized geometry",
  "lattice": [[5.106, 0.000, 0.000], [2.553, 4.422, 0.000], [2.553, 1.474, 4.169]],
  "species": ["Te", "Cl", "Pa"],
  "frac_coords": [[0.500, 0.500, 0.500], [0.000, 0.000, 0.000], [0.250, 0.250, 0.250]],
  "raw_formation_energy_kj_per_mol_fu": -252.4,
  "magmom_total_mub_per_cell": 2.0
}

***

Record 2
{
  "formula": "PmNd6Dy2Er3",
  "functional": "PBE",
  "state": "optimized geometry",
  "lattice": [[-1.381, 2.286, 5.676], [-1.059, -6.047, -1.288], [11.565, -1.420, 2.234]],
  "species": ["Nd", "Pm", "Nd", "Er", "Nd", "Dy", "Nd", "Er", "Nd", "Nd", "Er", "Dy"],
  "frac_coords": [[0.751, 0.751, 0.252], [0.000, 0.000, 0.000], [0.418, 0.084, 0.252], [0.500, 0.500, 0.500], [0.249, 0.249, 0.748], [0.333, 0.667, 0.000], [0.582, 0.916, 0.748], [0.167, 0.833, 0.500], [0.084, 0.418, 0.252], [0.916, 0.582, 0.748], [0.833, 0.167, 0.500], [0.667, 0.333, 0.000]],
  "magmom_total_mub_per_cell": 0.0,
  "e_form_ev_per_atom": 0.0131
}

***

Record 3
{
  "formula": "Tm2PuRhO8",
  "functional": "PBE",
  "state": "optimized geometry",
  "lattice": [[-1.719, 3.906, -2.562], [-4.041, -2.694, -1.078], [-2.960, 2.263, 5.438]],
  "species": ["Tm", "O", "Rh", "O", "O", "Tm", "O", "O", "Pu", "O", "O", "O"],
  "frac_coords": [[0.500, 0.500, 0.259], [0.819, 0.182, 0.748], [0.000, 0.000, 0.500], [0.181, 0.818, 0.252], [0.181, 0.818, 0.748], [0.500, 0.500, 0.741], [0.286, 0.286, 0.500], [0.296, 0.295, 0.000], [0.000, 0.000, 0.000], [0.819, 0.182, 0.252], [0.714, 0.714, 0.500], [0.704, 0.705, 0.000]],
  "raw_formation_energy_kj_per_mol_fu": -2857.7,
  "magmom_total_mub_per_cell": 2.7
}

***

Record 4
{
  "formula": "SrTeIrOs2",
  "functional": "PBE",
  "state": "optimized geometry",
  "lattice": [[-3.451, -3.393, 0.789], [2.893, -2.158, 3.372], [-1.971, 2.818, 3.495]],
  "species": ["Te", "Os", "Sr", "Ir", "Os"],
  "frac_coords": [[0.000, 0.000, 0.000], [0.500, 0.000, 0.000], [0.500, 0.500, 0.500], [0.000, 0.500, 0.000], [0.000, 0.000, 0.500]],
  "raw_formation_energy_kj_per_mol_fu": 664.0,
  "magmom_total_mub_per_cell": 0.0
}

***

| no. | Fermi-level density of states (states/eV/f.u.) |
| --- | --- |
| 1 | 10.8 |
| 2 | 13.7 |
| 3 | 10.7 |
| 4 | 5.9 |